Run 1
PBE-GGA HoTc3P3, relaxed; SG = Pm-3n; DOS at the Fermi energy = 2.9 states/eV/f.u.; spin magnetization = 0.00 μB/f.u.
1.0
6.4343 0.0000 0.0000
0.0000 6.4343 0.0000
0.0000 0.0000 6.4343
Tc P Ho
6 6 2
Direct
0.2500 0.0000 0.5000
0.0000 0.5000 0.7500
0.0000 0.5000 0.2500
0.7500 0.0000 0.5000
0.5000 0.2500 0.0000
0.5000 0.7500 0.0000
0.5000 0.0000 0.2500
0.2500 0.5000 0.0000
0.7500 0.5000 0.0000
0.0000 0.7500 0.5000
0.5000 0.0000 0.7500
0.0000 0.2500 0.5000
0.0000 0.0000 0.0000
0.5000 0.5000 0.5000

=====

Run 2
PBE-GGA HoTc3P3, relaxed; SG = R-3; DOS at the Fermi energy = 2.8 states/eV/f.u.; spin magnetization = 0.00 μB/f.u.
1.0
6.6643 0.0000 0.0000
3.3321 5.7714 0.0000
3.3321 1.9238 6.5661
P Ho Tc
6 2 6
Direct
0.7879 0.3780 0.7277
0.1065 0.7879 0.7277
0.8935 0.2121 0.2723
0.6220 0.8935 0.2723
0.2121 0.6220 0.2723
0.3780 0.1065 0.7277
0.3345 0.3345 0.9965
0.6655 0.6655 0.0035
0.9006 0.5032 0.3631
0.4968 0.7670 0.6369
0.2330 0.9006 0.3631
0.0994 0.4968 0.6369
0.5032 0.2330 0.3631
0.7670 0.0994 0.6369

=====

Most stable of them? run 2.